# TePbS2Cl, optimized geometry, DFT PBE
data_TePbS2Cl
_symmetry_space_group_name_H-M 'P 4/m m m'
_symmetry_Int_Tables_number 123
_symmetry_space_group_name_Hall '-P 4 2'
_cell_length_a 5.3562
_cell_length_b 5.3562
_cell_length_c 5.1917
_cell_angle_alpha 90.00
_cell_angle_beta 90.00
_cell_angle_gamma 90.00
loop_
_atom_site_label
_atom_site_fract_x
_atom_site_fract_y
_atom_site_fract_z
Te1 0.0000 0.0000 0.0000
Pb1 0.5000 0.5000 0.5000
S1 0.0000 0.5000 0.5000
Cl1 0.5000 0.5000 0.0000
# Calculated total energy: -14.862 eV/f.u.
# D(E_F): 0.889 states/eV/atom
# Energy above the lowest structure with this stoichiometry: 806 meV per atom
# Calculated volume: 29.79 Å³/atom
# Formation energy from raw total energies: 418 meV per atom


# TiPbSCl2, optimized geometry, DFT PBE
data_TiPbSCl2
_symmetry_space_group_name_H-M 'P 4/m m m'
_symmetry_Int_Tables_number 123
_symmetry_space_group_name_Hall '-P 4 2'
_cell_length_a 5.2023
_cell_length_b 5.2023
_cell_length_c 5.1777
_cell_angle_alpha 90.00
_cell_angle_beta 90.00
_cell_angle_gamma 90.00
loop_
_atom_site_label
_atom_site_fract_x
_atom_site_fract_y
_atom_site_fract_z
Ti1 0.0000 0.0000 0.0000
Pb1 0.5000 0.5000 0.5000
S1 0.0000 0.0000 0.5000
Cl1 0.0000 0.5000 0.0000
# Calculated total energy: -23.187 eV/f.u.
# D(E_F): 1.051 states/eV/atom
# Energy above the lowest structure with this stoichiometry: 0 meV per atom
# Calculated volume: 28.03 Å³/atom
# Formation energy from raw total energies: -753 meV per atom